# 1
Cs2Se4S | PBE | relaxed

abc: 7.369 8.769 9.004
angles: 107.64 99.92 100.14
Fractional positions:
1 Cs 0.205 0.160 0.357
2 Cs 0.290 0.633 0.833
3 Cs 0.710 0.367 0.167
4 Cs 0.795 0.840 0.643
5 Se 0.086 0.276 0.936
6 Se 0.245 0.500 0.178
7 Se 0.259 0.818 0.505
8 Se 0.419 0.072 0.718
9 Se 0.581 0.928 0.282
10 Se 0.741 0.182 0.495
11 Se 0.755 0.500 0.822
12 Se 0.914 0.724 0.064
13 S 0.260 0.083 0.916
14 S 0.740 0.917 0.084

Formation energy (no corrections) = -597 meV per atom
Total magnetic moment = 0.00 μB/cell

=====

# 2
Cs2Se2S | PBE | relaxed

abc: 13.215 4.972 5.736
angles: 90.00 106.26 90.00
Fractional positions:
1 Cs 0.123 0.000 0.393
2 Cs 0.377 0.500 0.607
3 Cs 0.623 0.500 0.393
4 Cs 0.877 0.000 0.607
5 Se 0.200 0.500 0.978
6 Se 0.300 0.000 0.022
7 Se 0.700 0.000 0.978
8 Se 0.800 0.500 0.022
9 S 0.000 0.500 0.000
10 S 0.500 0.000 0.000

Formation energy (no corrections) = -654 meV per atom
Total magnetic moment = 0.00 μB/cell
Polymorph energy (0 for the lowest one) = 0.0 meV/atom

=====

# 3
CsSeS2 | PBE | relaxed

abc: 4.084 4.084 27.015
angles: 90.00 90.00 120.00
Fractional positions:
1 Cs 0.000 0.000 0.000
2 Cs 0.333 0.667 0.667
3 Cs 0.667 0.333 0.333
4 Se 0.000 0.000 0.500
5 Se 0.333 0.667 0.167
6 Se 0.667 0.333 0.833
7 S 0.000 0.000 0.122
8 S 0.000 0.000 0.878
9 S 0.333 0.667 0.545
10 S 0.333 0.667 0.788
11 S 0.667 0.333 0.212
12 S 0.667 0.333 0.455

Formation energy (no corrections) = 122 meV per atom
Total magnetic moment = 0.00 μB/cell

=====

# 4
Cs2SeS | PBE | relaxed

abc: 8.713 6.486 13.208
angles: 90.00 100.61 90.00
Fractional positions:
1 Cs 0.004 0.208 0.115
2 Cs 0.004 0.292 0.615
3 Cs 0.486 0.626 0.850
4 Cs 0.486 0.874 0.350
5 Cs 0.514 0.126 0.650
6 Cs 0.514 0.374 0.150
7 Cs 0.996 0.708 0.385
8 Cs 0.996 0.792 0.885
9 Se 0.340 0.624 0.576
10 Se 0.340 0.876 0.076
11 Se 0.660 0.124 0.924
12 Se 0.660 0.376 0.424
13 S 0.171 0.704 0.158
14 S 0.171 0.796 0.658
15 S 0.829 0.204 0.342
16 S 0.829 0.296 0.842

Formation energy (no corrections) = -934 meV per atom
Total magnetic moment = 0.00 μB/cell
Polymorph energy (0 for the lowest one) = 0.0 meV/atom

=====

# 5
Cs2Se3S2 | PBE | relaxed

abc: 17.948 5.275 5.684
angles: 90.00 101.44 90.00
Fractional positions:
1 Cs 0.000 0.000 0.000
2 Cs 0.229 0.000 0.665
3 Cs 0.500 0.500 0.000
4 Cs 0.729 0.500 0.665
5 Se 0.116 0.500 0.328
6 Se 0.344 0.500 0.356
7 Se 0.385 0.000 0.308
8 Se 0.616 0.000 0.328
9 Se 0.844 0.000 0.356
10 Se 0.885 0.500 0.308
11 S 0.001 0.500 0.531
12 S 0.229 0.500 0.130
13 S 0.501 0.000 0.531
14 S 0.729 0.000 0.130

Formation energy (no corrections) = -590 meV per atom
Total magnetic moment = 0.00 μB/cell
Polymorph energy (0 for the lowest one) = 0.0 meV/atom

=====

# 6
CsSeS | PBE | relaxed

abc: 4.605 4.605 5.331
angles: 90.00 90.00 120.00
Fractional positions:
1 Cs 0.000 0.000 0.000
2 Se 0.667 0.333 0.488
3 S 0.333 0.667 0.523

Formation energy (no corrections) = -380 meV per atom
Total magnetic moment = 0.00 μB/cell
Polymorph energy (0 for the lowest one) = 298.8 meV/atom

=====

# 7
Cs2Se5S4 | PBE | relaxed

abc: 6.201 6.201 14.323
angles: 102.94 102.94 51.03
Fractional positions:
1 Cs 0.183 0.183 0.352
2 Cs 0.817 0.817 0.648
3 Se 0.194 0.652 0.909
4 Se 0.348 0.806 0.091
5 Se 0.500 0.500 0.500
6 Se 0.652 0.194 0.909
7 Se 0.806 0.348 0.091
8 S 0.072 0.072 0.560
9 S 0.249 0.249 0.831
10 S 0.751 0.751 0.169
11 S 0.928 0.928 0.440

Formation energy (no corrections) = -123 meV per atom
Total magnetic moment = 0.00 μB/cell

=====

# 8
Cs2SeS5 | PBE | relaxed

abc: 5.346 6.871 8.876
angles: 74.07 85.15 86.10
Fractional positions:
1 Cs 0.000 0.000 0.000
2 Cs 0.020 0.440 0.476
3 Se 0.588 0.876 0.641
4 S 0.041 0.575 0.832
5 S 0.323 0.925 0.438
6 S 0.406 0.605 0.857
7 S 0.480 0.772 0.285
8 S 0.518 0.151 0.713

Formation energy (no corrections) = -476 meV per atom
Total magnetic moment = 0.00 μB/cell

=====

# 9
CsSeS | PBE | relaxed

abc: 3.846 3.846 12.360
angles: 90.00 90.00 90.00
Fractional positions:
1 Cs 0.000 0.000 0.000
2 Cs 0.500 0.500 0.500
3 Se 0.000 0.000 0.270
4 Se 0.500 0.500 0.770
5 S 0.000 0.000 0.737
6 S 0.500 0.500 0.237

Formation energy (no corrections) = -380 meV per atom
Total magnetic moment = 0.00 μB/cell
Polymorph energy (0 for the lowest one) = 298.6 meV/atom

=====

# 10
Cs2SeS4 | PBE | relaxed

abc: 5.065 5.065 17.501
angles: 90.00 90.00 90.00
Fractional positions:
1 Cs 0.000 0.000 0.149
2 Cs 0.000 0.000 0.851
3 Cs 0.500 0.500 0.351
4 Cs 0.500 0.500 0.649
5 Se 0.000 0.000 0.500
6 Se 0.500 0.500 0.000
7 S 0.000 0.000 0.361
8 S 0.000 0.000 0.639
9 S 0.000 0.500 0.000
10 S 0.000 0.500 0.500
11 S 0.500 0.000 0.000
12 S 0.500 0.000 0.500
13 S 0.500 0.500 0.139
14 S 0.500 0.500 0.861

Formation energy (no corrections) = -152 meV per atom
Total magnetic moment = 3.93 μB/cell
Polymorph energy (0 for the lowest one) = 384.1 meV/atom

=====

# 11
Cs6SeS | PBE | relaxed

abc: 9.704 9.704 9.704
angles: 56.42 56.42 56.42
Fractional positions:
1 Cs 0.139 0.371 0.744
2 Cs 0.256 0.861 0.629
3 Cs 0.371 0.744 0.139
4 Cs 0.629 0.256 0.861
5 Cs 0.744 0.139 0.371
6 Cs 0.861 0.629 0.256
7 Se 0.000 0.000 0.000
8 S 0.500 0.500 0.500

Formation energy (no corrections) = -716 meV per atom
Total magnetic moment = 0.00 μB/cell

=====

# 12
CsSmSeS | PBE | relaxed

abc: 4.258 4.258 25.035
angles: 90.00 90.00 120.00
Fractional positions:
1 Cs 0.000 0.000 0.000
2 Cs 0.333 0.667 0.667
3 Cs 0.667 0.333 0.333
4 Sm 0.000 0.000 0.164
5 Sm 0.333 0.667 0.831
6 Sm 0.667 0.333 0.498
7 Se 0.000 0.000 0.564
8 Se 0.333 0.667 0.231
9 Se 0.667 0.333 0.897
10 S 0.000 0.000 0.773
11 S 0.333 0.667 0.440
12 S 0.667 0.333 0.107

Formation energy (no corrections) = -1751 meV per atom
Total magnetic moment = 0.00 μB/cell